A relaxed structure of PaInTcAu, computed with PBE.

Values from the calculation:
As for the space group: F-43m (216). The value obtained for the formation enthalpy at 0 K is -0.101 eV per formula unit. The density of states at the Fermi level is 1.4413 states/eV/atom. For the spin magnetization, the calculation gives 0.00 μB/cell. Its crystal system is cubic.

abc: 4.8781 4.8781 4.8781
angles: 60.00 60.00 60.00
With the nearest neighbours (Å) after each atom.
Element x y z (fractional)
Pa 0.0000 0.0000 0.0000  4 Tc 2.99, 4 Au 2.99
In 0.5000 0.5000 0.5000  4 Tc 2.99, 4 Au 2.99
Tc 0.7500 0.7500 0.7500  4 In 2.99, 4 Pa 2.99
Au 0.2500 0.2500 0.2500  4 In 2.99, 4 Pa 2.99


A relaxed structure of VIn2Ga2, computed with PBE.

Values from the calculation:
As for the space group: P4/mbm (127). The value obtained for the formation enthalpy at 0 K is 1.192 eV per formula unit. The density of states at the Fermi level is 0.8753 states/eV/atom. For the spin magnetization, the calculation gives 5.10 μB/cell. Its crystal system is tetragonal.

abc: 7.0210 7.0210 4.1182
angles: 90.00 90.00 90.00
With the nearest neighbours (Å) after each atom.
Element x y z (fractional)
V 0.0000 0.0000 0.0000  4 Ga 2.74
V 0.5000 0.5000 0.0000  4 Ga 2.74
In 0.1759 0.3241 0.5000  6 Ga 2.80-3.01
In 0.3241 0.8241 0.5000  6 Ga 2.80-3.01
In 0.6759 0.1759 0.5000  6 Ga 2.80-3.01
In 0.8241 0.6759 0.5000  6 Ga 2.80-3.01
Ga 0.1329 0.6329 0.0000  1 Ga 2.64, 2 V 2.74, 2 In 2.80
Ga 0.3671 0.1329 0.0000  1 Ga 2.64, 2 V 2.74, 2 In 2.80
Ga 0.6329 0.8671 0.0000  1 Ga 2.64, 2 V 2.74, 2 In 2.80
Ga 0.8671 0.3671 0.0000  1 Ga 2.64, 2 V 2.74, 2 In 2.80


A relaxed structure of Pr2Y7Ho, computed with PBE.

Values from the calculation:
As for the space group: P-1 (2). The value obtained for the formation enthalpy at 0 K is 0.193 eV per formula unit. The density of states at the Fermi level is 1.4534 states/eV/atom. For the spin magnetization, the calculation gives 0.00 μB/cell. Its crystal system is triclinic.

abc: 6.2143 7.1920 8.0259
angles: 102.89 97.28 106.70
With the nearest neighbours (Å) after each atom.
Element x y z (fractional)
Pr 0.1015 0.2009 0.1992  1 Ho 3.58, 10 Y 3.58-3.60, 1 Pr 3.60
Pr 0.8985 0.7991 0.8008  1 Ho 3.58, 10 Y 3.58-3.60, 1 Pr 3.60
Y 0.1002 0.6999 0.1996  2 Ho 3.58-3.59, 3 Pr 3.58-3.60, 7 Y 3.59-3.60
Y 0.3001 0.1009 0.6002  9 Y 3.59-3.61, 1 Ho 3.59, 2 Pr 3.60
Y 0.3001 0.5994 0.5998  8 Y 3.58-3.61, 3 Pr 3.59-3.60, 1 Ho 3.59
Y 0.5000 0.0000 0.0000  4 Pr 3.58-3.60, 6 Y 3.59-3.60, 2 Ho 3.60
Y 0.6999 0.4006 0.4002  8 Y 3.58-3.61, 3 Pr 3.59-3.60, 1 Ho 3.59
Y 0.6999 0.8991 0.3998  9 Y 3.59-3.61, 1 Ho 3.59, 2 Pr 3.60
Y 0.8998 0.3001 0.8004  2 Ho 3.58-3.59, 3 Pr 3.58-3.60, 7 Y 3.59-3.60
Ho 0.5000 0.5000 0.0000  2 Pr 3.58, 10 Y 3.58-3.60


A relaxed structure of TaP, computed with PBE.

Values from the calculation:
As for the space group: Cmcm (63). The value obtained for the formation enthalpy at 0 K is -1.215 eV per formula unit. The density of states at the Fermi level is 0.4184 states/eV/atom. For the spin magnetization, the calculation gives 0.00 μB/cell. Its crystal system is orthorhombic.

abc: 4.7320 4.7320 4.3471
angles: 90.00 90.00 140.85
With the nearest neighbours (Å) after each atom.
Element x y z (fractional)
Ta 0.1263 0.8737 0.7500  7 P 2.49-2.71
Ta 0.8737 0.1263 0.2500  7 P 2.49-2.71
P 0.4057 0.5943 0.7500  7 Ta 2.49-2.71, 2 P 2.75
P 0.5943 0.4057 0.2500  7 Ta 2.49-2.71, 2 P 2.75


A relaxed structure of KLa2Cd2, computed with PBE.

Values from the calculation:
As for the space group: P4/mbm (127). The value obtained for the formation enthalpy at 0 K is -0.438 eV per formula unit. The density of states at the Fermi level is 1.0210 states/eV/atom. For the spin magnetization, the calculation gives 0.00 μB/cell. Its crystal system is tetragonal.

abc: 9.7885 9.7885 3.5222
angles: 90.00 90.00 90.00
With the nearest neighbours (Å) after each atom.
Element x y z (fractional)
K 0.0000 0.0000 0.0000  2 K 3.52, 4 La 3.92
K 0.5000 0.5000 0.0000  2 K 3.52, 4 La 3.92
La 0.1172 0.3828 0.0000  3 La 3.25-3.52, 6 Cd 3.37-3.40
La 0.3828 0.8828 0.0000  3 La 3.25-3.52, 6 Cd 3.37-3.40
La 0.6172 0.1172 0.0000  3 La 3.25-3.52, 6 Cd 3.37-3.40
La 0.8828 0.6172 0.0000  3 La 3.25-3.52, 6 Cd 3.37-3.40
Cd 0.1748 0.6748 0.5000  6 La 3.37-3.40, 2 Cd 3.52
Cd 0.3252 0.1748 0.5000  6 La 3.37-3.40, 2 Cd 3.52
Cd 0.6748 0.8252 0.5000  6 La 3.37-3.40, 2 Cd 3.52
Cd 0.8252 0.3252 0.5000  6 La 3.37-3.40, 2 Cd 3.52


A relaxed structure of Li2TbPmAu4, computed with PBE.

Values from the calculation:
As for the space group: R-3m (166). The value obtained for the formation enthalpy at 0 K is -5.527 eV per formula unit. The density of states at the Fermi level is 0.6288 states/eV/atom. For the spin magnetization, the calculation gives 0.00 μB/cell. Its crystal system is trigonal.

abc: 8.3082 8.3082 8.3082
angles: 35.01 35.01 35.01
With the nearest neighbours (Å) after each atom.
Element x y z (fractional)
Li 0.2499 0.2499 0.2499  8 Au 2.77-3.10
Li 0.7501 0.7501 0.7501  8 Au 2.77-3.10
Tb 0.0000 0.0000 0.0000  8 Au 2.99-3.00
Pm 0.5000 0.5000 0.5000  8 Au 3.02-3.07
Au 0.1278 0.1278 0.1278  4 Li 2.85-3.07, 1 Tb 2.99, 3 Pm 3.02
Au 0.3685 0.3685 0.3685  4 Li 2.77-3.10, 3 Tb 3.00, 1 Pm 3.07
Au 0.6315 0.6315 0.6315  4 Li 2.77-3.10, 3 Tb 3.00, 1 Pm 3.07
Au 0.8722 0.8722 0.8722  4 Li 2.85-3.07, 1 Tb 2.99, 3 Pm 3.02